1 | First-principles (GGA-PBE) data for a relaxed structure of RhI2F, as listed in the Alexandria database.

Results
- Space-group type: I-42d (122)
- M_tot: 0.000 μB/atom

a b c (Å): 6.5025 6.5025 6.5025
angles (deg): 114.68 114.68 99.50
Closest atoms and distances in Å follow each position.
Positions (direct):
Rh 0.0000 0.0000 0.0000  4 I 2.56
Rh 0.7500 0.2500 0.5000  4 I 2.56
I 0.0946 0.1250 0.4696  2 Rh 2.56, 2 F 2.84
I 0.3750 0.9054 0.0304  2 Rh 2.56, 2 F 2.84
I 0.6554 0.6250 0.5304  2 Rh 2.56, 2 F 2.84
I 0.8750 0.3446 0.9696  2 Rh 2.56, 2 F 2.84
F 0.2500 0.7500 0.5000  4 I 2.84
F 0.5000 0.5000 0.0000  4 I 2.84



2 | First-principles (GGA-PBE) data for a relaxed structure of RhI2F, as listed in the Alexandria database.

Results
- Space-group type: Fm-3m (225)
- M_tot: 0.052 μB/atom

a b c (Å): 4.7917 4.7917 4.7917
angles (deg): 60.00 60.00 60.00
Closest atoms and distances in Å follow each position.
Positions (direct):
Rh 0.0000 0.0000 0.0000  8 I 2.93
I 0.2500 0.2500 0.2500  4 F 2.93, 4 Rh 2.93
I 0.7500 0.7500 0.7500  4 F 2.93, 4 Rh 2.93
F 0.5000 0.5000 0.5000  8 I 2.93



3 | First-principles (GGA-PBE) data for a relaxed structure of RhI2F, as listed in the Alexandria database.

Results
- Space-group type: C2 (5)
- M_tot: 0.000 μB/atom

a b c (Å): 7.6622 7.6622 4.1799
angles (deg): 91.30 91.30 29.72
Closest atoms and distances in Å follow each position.
Positions (direct):
Rh 0.0000 0.0000 0.0000  2 F 2.09
I 0.3757 0.3812 0.9897  2 Rh 2.66-2.67
I 0.6188 0.6243 0.0103  2 Rh 2.66-2.67
F 0.9674 0.0326 0.5000  2 Rh 2.09



Quick one: least stable of them? 2



1 | First-principles (GGA-PBE) data for a relaxed structure of Rh2IF, as listed in the Alexandria database.

Results
- Space-group type: I-42d (122)
- M_tot: 0.000 μB/atom

a b c (Å): 5.5950 5.5950 5.5950
angles (deg): 106.27 106.27 116.07
Closest atoms and distances in Å follow each position.
Positions (direct):
Rh 0.1023 0.6250 0.9773  2 F 2.39, 2 I 2.59
Rh 0.3750 0.3523 0.4773  2 F 2.39, 2 I 2.59
Rh 0.6477 0.1250 0.0227  2 F 2.39, 2 I 2.59
Rh 0.8750 0.8977 0.5227  2 F 2.39, 2 I 2.59
I 0.2500 0.7500 0.5000  4 Rh 2.59
I 0.5000 0.5000 0.0000  4 Rh 2.59
F 0.0000 0.0000 0.0000  4 Rh 2.39
F 0.7500 0.2500 0.5000  4 Rh 2.39



2 | First-principles (GGA-PBE) data for a relaxed structure of Rh2IF, as listed in the Alexandria database.

Results
- Space-group type: Fm-3m (225)
- M_tot: 0.000 μB/atom

a b c (Å): 4.4309 4.4309 4.4309
angles (deg): 60.00 60.00 60.00
Closest atoms and distances in Å follow each position.
Positions (direct):
Rh 0.2500 0.2500 0.2500  4 F 2.71, 4 I 2.71
Rh 0.7500 0.7500 0.7500  4 F 2.71, 4 I 2.71
I 0.0000 0.0000 0.0000  8 Rh 2.71
F 0.5000 0.5000 0.5000  8 Rh 2.71



Quick one: least stable of them? 1



1 | First-principles (GGA-PBE) data for a relaxed structure of SbRhI2F, as listed in the Alexandria database.

Results
- Space-group type: P4/mmm (123)
- M_tot: 0.052 μB/atom

a b c (Å): 5.4287 5.4287 5.0152
angles (deg): 90.00 90.00 90.00
Closest atoms and distances in Å follow each position.
Positions (direct):
Sb 0.0000 0.0000 0.0000  2 Rh 2.51
Rh 0.0000 0.0000 0.5000  2 Sb 2.51, 4 I 2.71
I 0.0000 0.5000 0.5000  2 Rh 2.71
I 0.5000 0.0000 0.5000  2 Rh 2.71
F 0.5000 0.5000 0.0000  8 I 3.70, 4 Sb 3.84



2 | First-principles (GGA-PBE) data for a relaxed structure of SbRhI2F, as listed in the Alexandria database.

Results
- Space-group type: P4/mmm (123)
- M_tot: 0.290 μB/atom

a b c (Å): 5.7370 5.7370 4.1873
angles (deg): 90.00 90.00 90.00
Closest atoms and distances in Å follow each position.
Positions (direct):
Sb 0.0000 0.0000 0.0000  2 F 2.09
Rh 0.5000 0.5000 0.0000  8 I 3.55
I 0.0000 0.5000 0.5000  2 F 2.87
I 0.5000 0.0000 0.5000  2 F 2.87
F 0.0000 0.0000 0.5000  2 Sb 2.09



Quick one: least stable of them? 2



1 | First-principles (GGA-PBE) data for a relaxed structure of TeRhI2F, as listed in the Alexandria database.

Results
- Space-group type: P4/mmm (123)
- M_tot: 0.000 μB/atom

a b c (Å): 5.4525 5.4525 5.0320
angles (deg): 90.00 90.00 90.00
Closest atoms and distances in Å follow each position.
Positions (direct):
Te 0.0000 0.0000 0.0000  2 Rh 2.52
Rh 0.0000 0.0000 0.5000  2 Te 2.52, 4 I 2.73
I 0.0000 0.5000 0.5000  2 Rh 2.73
I 0.5000 0.0000 0.5000  2 Rh 2.73
F 0.5000 0.5000 0.0000  8 I 3.71, 4 Te 3.86



2 | First-principles (GGA-PBE) data for a relaxed structure of TeRhI2F, as listed in the Alexandria database.

Results
- Space-group type: P4/mmm (123)
- M_tot: 0.371 μB/atom

a b c (Å): 5.7947 5.7947 4.1876
angles (deg): 90.00 90.00 90.00
Closest atoms and distances in Å follow each position.
Positions (direct):
Te 0.0000 0.0000 0.0000  2 F 2.09
Rh 0.5000 0.5000 0.0000  8 I 3.57
I 0.0000 0.5000 0.5000  2 F 2.90
I 0.5000 0.0000 0.5000  2 F 2.90
F 0.0000 0.0000 0.5000  2 Te 2.09



Quick one: least stable of them? 2



1 | First-principles (GGA-PBE) data for a relaxed structure of Te2RhIF, as listed in the Alexandria database.

Results
- Space-group type: P4/mmm (123)
- M_tot: 0.491 μB/atom

a b c (Å): 4.6006 4.6006 6.4967
angles (deg): 90.00 90.00 90.00
Closest atoms and distances in Å follow each position.
Positions (direct):
Te 0.0000 0.5000 0.0000  2 F 2.30
Te 0.5000 0.0000 0.0000  2 F 2.30
Rh 0.0000 0.0000 0.5000  4 I 3.25
I 0.5000 0.5000 0.5000  2 F 3.25, 4 Rh 3.25
F 0.5000 0.5000 0.0000  4 Te 2.30



2 | First-principles (GGA-PBE) data for a relaxed structure of Te2RhIF, as listed in the Alexandria database.

Results
- Space-group type: P4/mmm (123)
- M_tot: 0.023 μB/atom

a b c (Å): 5.1248 5.1248 5.5087
angles (deg): 90.00 90.00 90.00
Closest atoms and distances in Å follow each position.
Positions (direct):
Te 0.0000 0.5000 0.0000  2 Rh 2.56
Te 0.5000 0.0000 0.0000  2 Rh 2.56
Rh 0.0000 0.0000 0.0000  4 Te 2.56, 2 I 2.75
I 0.0000 0.0000 0.5000  2 Rh 2.75
F 0.5000 0.5000 0.5000  4 I 3.62, 8 Te 3.76



Quick one: least stable of them? 1



1 | First-principles (GGA-PBE) data for a relaxed structure of Ru3IF, as listed in the Alexandria database.

Results
- Space-group type: Pm-3m (221)
- M_tot: 0.000 μB/atom

a b c (Å): 4.3287 4.3287 4.3287
angles (deg): 90.00 90.00 90.00
Closest atoms and distances in Å follow each position.
Positions (direct):
Ru 0.0000 0.0000 0.5000  2 F 2.16
Ru 0.0000 0.5000 0.0000  2 F 2.16
Ru 0.5000 0.0000 0.0000  2 F 2.16
I 0.5000 0.5000 0.5000  12 Ru 3.06
F 0.0000 0.0000 0.0000  6 Ru 2.16



2 | First-principles (GGA-PBE) data for a relaxed structure of Ru3IF, as listed in the Alexandria database.

Results
- Space-group type: Pm-3m (221)
- M_tot: 0.965 μB/atom

a b c (Å): 4.9065 4.9065 4.9065
angles (deg): 90.00 90.00 90.00
Closest atoms and distances in Å follow each position.
Positions (direct):
Ru 0.0000 0.0000 0.5000  2 I 2.45
Ru 0.0000 0.5000 0.0000  2 I 2.45
Ru 0.5000 0.0000 0.0000  2 I 2.45
I 0.0000 0.0000 0.0000  6 Ru 2.45
F 0.5000 0.5000 0.5000  12 Ru 3.47



Quick one: least stable of them? 2



1 | First-principles (GGA-PBE) data for a relaxed structure of RuIF2, as listed in the Alexandria database.

Results
- Space-group type: Fm-3m (225)
- M_tot: 0.900 μB/atom

a b c (Å): 4.4936 4.4936 4.4936
angles (deg): 60.00 60.00 60.00
Closest atoms and distances in Å follow each position.
Positions (direct):
Ru 0.0000 0.0000 0.0000  8 F 2.75
I 0.5000 0.5000 0.5000  8 F 2.75
F 0.2500 0.2500 0.2500  4 Ru 2.75, 4 I 2.75
F 0.7500 0.7500 0.7500  4 Ru 2.75, 4 I 2.75



2 | First-principles (GGA-PBE) data for a relaxed structure of RuIF2, as listed in the Alexandria database.

Results
- Space-group type: R-3m (166)
- M_tot: 0.649 μB/atom

a b c (Å): 10.1369 10.1369 10.1369
angles (deg): 17.57 17.57 17.57
Closest atoms and distances in Å follow each position.
Positions (direct):
Ru 0.0000 0.0000 0.0000  2 F 1.87
I 0.5000 0.5000 0.5000  6 I 3.10
F 0.0626 0.0626 0.0626  1 Ru 1.87
F 0.9374 0.9374 0.9374  1 Ru 1.87



Quick one: least stable of them? 1